Run 1
5
Lattice="4.979 0.000 0.000 0.000 4.979 0.000 0.000 0.000 5.801" Properties=species:S:1:pos:R:3 comment="PBE CaCdGe2As, relaxed" crystal_system=tetragonal m_tot_mub_per_fu=0.00 pbc="T T T"
Ca 0.000 0.000 0.000
Cd 0.000 0.000 2.901
Ge 0.000 2.489 2.901
Ge 2.489 0.000 2.901
As 2.489 2.489 0.000

***

Run 2
5
Lattice="5.119 0.000 0.000 0.000 5.119 0.000 0.000 0.000 5.236" Properties=species:S:1:pos:R:3 comment="PBE CaCdGe2As, relaxed" crystal_system=tetragonal m_tot_mub_per_fu=0.00 pbc="T T T"
Ca 0.000 0.000 0.000
Cd 2.559 2.559 0.000
Ge 0.000 2.559 2.618
Ge 2.559 0.000 2.618
As 2.559 2.559 2.618

***

Most favorable structure: run 2. The second most favorable one is 29.4 kJ/mol of atoms above it.

***

Run 1
5
Lattice="5.770 0.000 0.000 0.000 5.770 0.000 0.000 0.000 5.312" Properties=species:S:1:pos:R:3 comment="PBE Ca2LaCdAs, relaxed" crystal_system=tetragonal m_tot_mub_per_fu=0.00 pbc="T T T"
Ca 0.000 2.885 0.000
Ca 2.885 0.000 0.000
La 0.000 0.000 2.656
Cd 2.885 2.885 0.000
As 2.885 2.885 2.656

***

Run 2
5
Lattice="5.629 0.000 0.000 0.000 5.629 0.000 0.000 0.000 5.888" Properties=species:S:1:pos:R:3 comment="PBE Ca2LaCdAs, relaxed" crystal_system=tetragonal m_tot_mub_per_fu=0.00 pbc="T T T"
Ca 0.000 2.815 0.000
Ca 2.815 0.000 0.000
La 0.000 0.000 2.944
Cd 0.000 0.000 0.000
As 2.815 2.815 2.944

***

Most favorable structure: run 2. The second most favorable one is 9.4 kJ/mol of atoms above it.

***

Run 1
5
Lattice="5.116 0.000 0.000 0.000 5.116 0.000 0.000 0.000 5.406" Properties=species:S:1:pos:R:3 comment="PBE CaCdAs2Se, relaxed" crystal_system=tetragonal m_tot_mub_per_fu=0.00 pbc="T T T"
Ca 0.000 0.000 0.000
Cd 2.558 2.558 2.703
As 0.000 2.558 2.703
As 2.558 0.000 2.703
Se 2.558 2.558 0.000

***

Run 2
5
Lattice="5.437 0.000 0.000 0.000 5.437 0.000 0.000 0.000 5.327" Properties=species:S:1:pos:R:3 comment="PBE CaCdAs2Se, relaxed" crystal_system=tetragonal m_tot_mub_per_fu=0.54 pbc="T T T"
Ca 0.000 0.000 0.000
Cd 2.718 2.718 2.664
As 0.000 2.718 0.000
As 2.718 0.000 0.000
Se 0.000 0.000 2.664

***

Most favorable structure: run 1. The second most favorable one is 35.3 kJ/mol of atoms above it.

***

Run 1
3
Lattice="0.000 3.527 3.527 3.527 0.000 3.527 3.527 3.527 0.000" Properties=species:S:1:pos:R:3 comment="PBE CaAsCl, relaxed" crystal_system=cubic m_tot_mub_per_fu=2.00 pbc="T T T"
Ca 0.000 0.000 0.000
As 5.290 5.290 5.290
Cl 1.763 1.763 1.763

***

Run 2
3
Lattice="4.811 0.000 0.000 -2.406 4.167 0.000 0.000 0.000 3.709" Properties=species:S:1:pos:R:3 comment="PBE CaAsCl, relaxed" crystal_system=hexagonal m_tot_mub_per_fu=1.13 pbc="T T T"
Ca 0.000 0.000 0.000
As 0.000 2.778 1.855
Cl 2.406 1.389 0.000

***

Most favorable structure: run 2. The second most favorable one is 4.8 kJ/mol of atoms above it.